No. 1
First-principles (GGA-PBE) data for an optimized crystal structure of BaLaPd3, as listed in the Alexandria database.

Cell lengths 5.389, 5.389, 5.389 Å; angles 90.00, 90.00, 90.00 degrees
Sites, in units of the cell vectors:
1 Ba 0.000 0.000 0.000
2 La 0.500 0.500 0.500
3 Pd 0.000 0.000 0.500
4 Pd 0.000 0.500 0.000
5 Pd 0.500 0.000 0.000

Computed properties:
The raw total energy is -4.021 eV per atom. The value obtained for the calculated volume is 31.30 A^3/atom. As for the total moment: 0.0 μB per formula unit. Its formation energy is 0.4652 eV/atom. The energy relative to the lowest polymorph listed for this composition comes out at 587 meV per atom.

No. 2
First-principles (GGA-PBE) data for an optimized crystal structure of K2ZnCd4Hg3, as listed in the Alexandria database.

Cell lengths 4.754, 4.754, 12.839 Å; angles 90.00, 90.00, 90.00 degrees
Sites, in units of the cell vectors:
1 K 0.000 0.500 0.247
2 K 0.500 0.000 0.753
3 Zn 0.500 0.500 0.000
4 Cd 0.000 0.000 0.500
5 Cd 0.000 0.500 0.869
6 Cd 0.500 0.000 0.131
7 Cd 0.500 0.500 0.500
8 Hg 0.000 0.000 0.000
9 Hg 0.000 0.500 0.644
10 Hg 0.500 0.000 0.356

Computed properties:
The raw total energy is -0.903 eV per atom. The value obtained for the calculated volume is 29.02 A^3/atom. As for the total moment: 0.0 μB per formula unit. Its formation energy is -0.0993 eV/atom.

No. 3
First-principles (GGA-PBE) data for an optimized crystal structure of LiDy2Al2, as listed in the Alexandria database.

Cell lengths 6.124, 6.124, 6.124 Å; angles 145.78, 116.53, 74.12 degrees
Sites, in units of the cell vectors:
1 Li 0.000 0.000 0.000
2 Dy 0.275 0.775 0.500
3 Dy 0.725 0.225 0.500
4 Al 0.293 0.500 0.793
5 Al 0.707 0.500 0.207

Computed properties:
The raw total energy is -3.967 eV per atom. The value obtained for the calculated volume is 22.69 A^3/atom. As for the total moment: 0.0 μB per formula unit. Its formation energy is -0.2466 eV/atom.

No. 4
First-principles (GGA-PBE) data for an optimized crystal structure of LaTcP2, as listed in the Alexandria database.

Cell lengths 5.654, 5.654, 5.654 Å; angles 138.77, 138.77, 59.73 degrees
Sites, in units of the cell vectors:
1 La 0.000 0.000 0.000
2 Tc 0.750 0.250 0.500
3 P 0.250 0.750 0.500
4 P 0.500 0.500 0.000

Computed properties:
The raw total energy is -6.494 eV per atom. The value obtained for the calculated volume is 19.44 A^3/atom. As for the total moment: 1.6 μB per formula unit. Its formation energy is 0.0342 eV/atom. The energy relative to the lowest polymorph listed for this composition comes out at 946 meV per atom.

No. 5
First-principles (GGA-PBE) data for an optimized crystal structure of Mg6SnB, as listed in the Alexandria database.

Cell lengths 4.056, 6.388, 6.388 Å; angles 83.93, 90.00, 90.00 degrees
Sites, in units of the cell vectors:
1 Mg 0.000 0.000 0.000
2 Mg 0.000 0.456 0.456
3 Mg 0.000 0.541 0.896
4 Mg 0.000 0.896 0.541
5 Mg 0.500 0.233 0.722
6 Mg 0.500 0.722 0.233
7 Sn 0.500 0.224 0.224
8 B 0.500 0.614 0.614

Computed properties:
The raw total energy is -2.335 eV per atom. The value obtained for the calculated volume is 20.57 A^3/atom. As for the total moment: 0.0 μB per formula unit. Its formation energy is 0.1961 eV/atom. The energy relative to the lowest polymorph listed for this composition comes out at 0 meV per atom.

No. 6
First-principles (GGA-PBE) data for an optimized crystal structure of CeSeI, as listed in the Alexandria database.

Cell lengths 7.800, 7.800, 7.800 Å; angles 133.98, 133.98, 67.12 degrees
Sites, in units of the cell vectors:
1 Ce 0.000 0.000 0.000
2 Ce 0.750 0.250 0.500
3 Se 0.536 0.036 0.500
4 Se 0.786 0.786 0.000
5 I 0.008 0.508 0.500
6 I 0.258 0.258 0.000

Computed properties:
The raw total energy is -5.045 eV per atom. The value obtained for the calculated volume is 40.29 A^3/atom. As for the total moment: 1.0 μB per formula unit. The energy relative to the lowest polymorph listed for this composition comes out at 219 meV per atom.

No. 7
First-principles (GGA-PBE) data for an optimized crystal structure of CaFeBRh2, as listed in the Alexandria database.

Cell lengths 4.232, 4.232, 4.056 Å; angles 90.00, 90.00, 90.00 degrees
Sites, in units of the cell vectors:
1 Ca 0.000 0.000 0.000
2 Fe 0.500 0.500 0.000
3 B 0.500 0.500 0.500
4 Rh 0.000 0.500 0.500
5 Rh 0.500 0.000 0.500

Computed properties:
The raw total energy is -6.646 eV per atom. The value obtained for the calculated volume is 14.52 A^3/atom. As for the total moment: 2.8 μB per formula unit. Its formation energy is -0.2767 eV/atom.

No. 8
First-principles (GGA-PBE) data for an optimized crystal structure of LiSi2Ni2, as listed in the Alexandria database.

Cell lengths 5.624, 5.624, 5.624 Å; angles 141.47, 141.47, 55.63 degrees
Sites, in units of the cell vectors:
1 Li 0.000 0.000 0.000
2 Si 0.384 0.384 0.000
3 Si 0.616 0.616 0.000
4 Ni 0.250 0.750 0.500
5 Ni 0.750 0.250 0.500

Computed properties:
The raw total energy is -5.264 eV per atom. The value obtained for the calculated volume is 13.71 A^3/atom. As for the total moment: 0.0 μB per formula unit.

No. 9
First-principles (GGA-PBE) data for an optimized crystal structure of TiFe3Au, as listed in the Alexandria database.

Cell lengths 4.713, 4.713, 4.713 Å; angles 90.00, 90.00, 90.00 degrees
Sites, in units of the cell vectors:
1 Ti 0.000 0.000 0.000
2 Fe 0.000 0.500 0.500
3 Fe 0.500 0.000 0.500
4 Fe 0.500 0.500 0.000
5 Au 0.500 0.500 0.500

Computed properties:
The raw total energy is -6.014 eV per atom. The value obtained for the calculated volume is 20.93 A^3/atom. As for the total moment: 7.2 μB per formula unit. Its formation energy is 1.2977 eV/atom. The energy relative to the lowest polymorph listed for this composition comes out at 268 meV per atom.

No. 10
First-principles (GGA-PBE) data for an optimized crystal structure of Ta2CdPb, as listed in the Alexandria database.

Cell lengths 2.978, 4.853, 5.779 Å; angles 90.00, 100.42, 90.00 degrees
Sites, in units of the cell vectors:
1 Ta 0.222 0.000 0.238
2 Ta 0.778 0.000 0.762
3 Cd 0.500 0.500 0.000
4 Pb 0.000 0.500 0.500

Computed properties:
The raw total energy is -6.595 eV per atom. The value obtained for the calculated volume is 20.53 A^3/atom. As for the total moment: 0.0 μB per formula unit. Its formation energy is 0.4872 eV/atom.

No. 11
First-principles (GGA-PBE) data for an optimized crystal structure of Ho2CdNi, as listed in the Alexandria database.

Cell lengths 10.465, 10.465, 10.465 Å; angles 18.22, 18.22, 18.22 degrees
Sites, in units of the cell vectors:
1 Ho 0.081 0.081 0.081
2 Ho 0.919 0.919 0.919
3 Cd 0.500 0.500 0.500
4 Ni 0.000 0.000 0.000

Computed properties:
The raw total energy is -3.639 eV per atom. The value obtained for the calculated volume is 24.46 A^3/atom. As for the total moment: 0.0 μB per formula unit. Its formation energy is 0.3242 eV/atom. The energy relative to the lowest polymorph listed for this composition comes out at 703 meV per atom.

No. 12
First-principles (GGA-PBE) data for an optimized crystal structure of CdSiPt2, as listed in the Alexandria database.

Cell lengths 4.885, 4.885, 4.885 Å; angles 136.10, 121.61, 75.84 degrees
Sites, in units of the cell vectors:
1 Cd 0.000 0.000 0.000
2 Si 0.500 0.500 0.000
3 Pt 0.298 0.798 0.500
4 Pt 0.702 0.202 0.500

Computed properties:
The raw total energy is -4.928 eV per atom. The value obtained for the calculated volume is 16.77 A^3/atom. As for the total moment: 0.0 μB per formula unit.